Entry 1:
VASP calculation (GGA-PBE) on a geometry-optimized Ba2Sr4Ni structure.

Values from the calculation:
Energy of formation, eV per atom: 0.07
Total magnetic moment, μB per atom: 0.0001

Cell: 5.859 5.859 11.673 Å, 75.46 75.46 90.00°
Fractional coordinates of all 7 atoms:
Sr (0.500, 0.000, 0.000)
Sr (0.869, 0.869, 0.263)
Sr (0.000, 0.500, 0.000)
Sr (0.131, 0.131, 0.737)
Ba (0.677, 0.677, 0.646)
Ba (0.323, 0.323, 0.354)
Ni (0.000, 0.000, 0.000)

Entry 2:
VASP calculation (GGA-PBE) on a geometry-optimized BaSr2Ni structure.

Values from the calculation:
Polymorph energy (0 for the lowest one), eV/f.u.: 0.00
Energy of formation, eV per atom: -0.01
Total magnetic moment, μB per atom: 0.0000

Cell: 7.517 7.155 13.077 Å, 90.00 90.05 90.00°
Fractional coordinates of all 16 atoms:
Sr (0.423, 0.733, 0.924)
Sr (0.077, 0.233, 0.576)
Sr (0.923, 0.734, 0.075)
Sr (0.577, 0.267, 0.076)
Sr (0.423, 0.766, 0.575)
Sr (0.577, 0.234, 0.425)
Sr (0.077, 0.266, 0.925)
Sr (0.923, 0.767, 0.424)
Ba (0.416, 0.751, 0.250)
Ba (0.584, 0.249, 0.750)
Ba (0.084, 0.251, 0.250)
Ba (0.916, 0.749, 0.750)
Ni (0.250, 0.500, 0.087)
Ni (0.750, 0.500, 0.913)
Ni (0.250, 0.000, 0.413)
Ni (0.750, 0.000, 0.587)

Entry 3:
VASP calculation (GGA-PBE) on a geometry-optimized Ba4SrNi structure.

Values from the calculation:
Energy of formation, eV per atom: 0.70
Total magnetic moment, μB per atom: 0.3374

Cell: 7.653 7.653 7.653 Å, 60.00 60.00 60.00°
Fractional coordinates of all 6 atoms:
Ba (0.872, 0.376, 0.376)
Ba (0.376, 0.376, 0.376)
Ba (0.376, 0.376, 0.872)
Ba (0.376, 0.872, 0.376)
Ni (0.750, 0.750, 0.750)
Sr (0.000, 0.000, 0.000)

Entry 4:
VASP calculation (GGA-PBE) on a geometry-optimized BaSr2Ni structure.

Values from the calculation:
Polymorph energy (0 for the lowest one), eV/f.u.: 0.28
Energy of formation, eV per atom: 0.06
Total magnetic moment, μB per atom: 0.0000

Cell: 4.343 4.343 10.937 Å, 78.55 78.55 60.00°
Fractional coordinates of all 4 atoms:
Sr (0.717, 0.717, 0.848)
Sr (0.283, 0.283, 0.152)
Ni (0.000, 0.000, 0.000)
Ba (0.500, 0.500, 0.500)

Entry 5:
VASP calculation (GGA-PBE) on a geometry-optimized BaSr3Ni3 structure.

Values from the calculation:
Energy of formation, eV per atom: 0.08
Total magnetic moment, μB per atom: 0.0001

Cell: 7.929 7.929 9.235 Å, 64.58 64.58 60.00°
Fractional coordinates of all 14 atoms:
Sr (0.589, 0.091, 0.230)
Sr (0.091, 0.091, 0.230)
Sr (0.909, 0.909, 0.770)
Sr (0.909, 0.411, 0.770)
Sr (0.411, 0.909, 0.770)
Sr (0.091, 0.589, 0.230)
Ni (0.729, 0.729, 0.499)
Ni (0.271, 0.271, 0.501)
Ni (0.958, 0.271, 0.501)
Ni (0.729, 0.042, 0.499)
Ni (0.042, 0.729, 0.499)
Ni (0.271, 0.958, 0.501)
Ba (0.572, 0.572, 0.284)
Ba (0.428, 0.428, 0.716)

Entry 6:
VASP calculation (GGA-PBE) on a geometry-optimized BaSrNi2 structure.

Values from the calculation:
Polymorph energy (0 for the lowest one), eV/f.u.: 1.48
Energy of formation, eV per atom: 0.38
Total magnetic moment, μB per atom: 0.0000

Cell: 6.313 6.313 6.313 Å, 140.01 140.01 57.83°
Fractional coordinates of all 4 atoms:
Sr (0.500, 0.500, 0.000)
Ba (0.750, 0.250, 0.500)
Ni (0.000, 0.000, 0.000)
Ni (0.250, 0.750, 0.500)

Entry 7:
VASP calculation (GGA-PBE) on a geometry-optimized BaSr2Ni2 structure.

Values from the calculation:
Polymorph energy (0 for the lowest one), eV/f.u.: 0.00
Energy of formation, eV per atom: 0.07
Total magnetic moment, μB per atom: 0.0000

Cell: 8.072 8.072 4.664 Å, 90.00 90.00 90.00°
Fractional coordinates of all 10 atoms:
Sr (0.339, 0.161, 0.500)
Sr (0.839, 0.339, 0.500)
Sr (0.661, 0.839, 0.500)
Sr (0.161, 0.661, 0.500)
Ni (0.103, 0.397, 0.000)
Ni (0.897, 0.603, 0.000)
Ni (0.397, 0.897, 0.000)
Ni (0.603, 0.103, 0.000)
Ba (0.000, 0.000, 0.000)
Ba (0.500, 0.500, 0.000)

Entry 8:
VASP calculation (GGA-PBE) on a geometry-optimized BaSrNi3 structure.

Values from the calculation:
Polymorph energy (0 for the lowest one), eV/f.u.: 0.62
Energy of formation, eV per atom: 1.12
Total magnetic moment, μB per atom: 0.0000

Cell: 5.146 5.146 5.146 Å, 90.00 90.00 90.00°
Fractional coordinates of all 5 atoms:
Ba (0.000, 0.000, 0.000)
Ni (0.000, 0.000, 0.500)
Ni (0.500, 0.000, 0.000)
Ni (0.000, 0.500, 0.000)
Sr (0.500, 0.500, 0.500)

Entry 9:
VASP calculation (GGA-PBE) on a geometry-optimized BaSr2Ni structure.

Values from the calculation:
Polymorph energy (0 for the lowest one), eV/f.u.: 1.58
Energy of formation, eV per atom: 0.39
Total magnetic moment, μB per atom: 0.0003

Cell: 5.158 5.166 5.754 Å, 90.00 90.00 90.00°
Fractional coordinates of all 4 atoms:
Ni (0.000, 0.500, 0.500)
Sr (0.000, 0.000, 0.000)
Sr (0.500, 0.500, 0.000)
Ba (0.500, 0.000, 0.500)

Entry 10:
VASP calculation (GGA-PBE) on a geometry-optimized BaSrNi2 structure.

Values from the calculation:
Polymorph energy (0 for the lowest one), eV/f.u.: 0.88
Energy of formation, eV per atom: 0.23
Total magnetic moment, μB per atom: 0.0494

Cell: 3.739 3.740 9.079 Å, 65.67 65.67 90.01°
Fractional coordinates of all 4 atoms:
Ba (0.250, 0.250, 0.250)
Sr (0.750, 0.750, 0.750)
Ni (0.022, 0.022, 0.978)
Ni (0.478, 0.478, 0.522)

Entry 11:
VASP calculation (GGA-PBE) on a geometry-optimized Ba2SrNi structure.

Values from the calculation:
Polymorph energy (0 for the lowest one), eV/f.u.: 1.77
Energy of formation, eV per atom: 0.43
Total magnetic moment, μB per atom: 0.0000

Cell: 5.941 5.941 5.941 Å, 60.00 60.00 60.00°
Fractional coordinates of all 4 atoms:
Ba (0.000, 0.000, 0.000)
Ba (0.250, 0.250, 0.250)
Ni (0.500, 0.500, 0.500)
Sr (0.750, 0.750, 0.750)

Entry 12:
VASP calculation (GGA-PBE) on a geometry-optimized BaSr3Ni2 structure.

Values from the calculation:
Energy of formation, eV per atom: -0.04
Total magnetic moment, μB per atom: 0.0000

Cell: 4.241 9.778 11.618 Å, 80.29 79.48 77.48°
Fractional coordinates of all 12 atoms:
Sr (0.407, 0.741, 0.444)
Sr (0.593, 0.765, 0.049)
Sr (0.159, 0.947, 0.736)
Sr (0.841, 0.053, 0.264)
Sr (0.593, 0.259, 0.556)
Sr (0.407, 0.235, 0.951)
Ni (0.759, 0.954, 0.527)
Ni (0.241, 0.046, 0.473)
Ni (0.760, 0.451, 0.029)
Ni (0.240, 0.549, 0.971)
Ba (0.160, 0.439, 0.242)
Ba (0.840, 0.561, 0.758)